Record 1
Material: Ti3Cd
Method: DFT, PBE
State: optimized geometry

Geometry as extended XYZ:
```
4
Lattice="4.145 0.000 0.000 0.000 4.145 0.000 0.000 0.000 4.145" Properties=species:S:1:pos:R:3 pbc="T T T"
Ti 2.073 0.000 2.073
Ti 0.000 2.073 2.073
Ti 2.073 2.073 0.000
Cd 0.000 0.000 0.000
```

## Properties
* energy of formation: 0.045 eV per atom
* uncorrected energy: -6.10 eV/atom


Record 2
Material: TiCd
Method: DFT, PBE
State: optimized geometry

Geometry as extended XYZ:
```
32
Lattice="10.645 0.000 0.000 0.000 7.930 0.000 0.000 0.000 7.871" Properties=species:S:1:pos:R:3 pbc="T T T"
Cd 5.322 0.000 5.310
Cd 2.661 1.983 4.529
Cd 2.661 5.948 0.593
Cd 7.983 1.983 0.593
Cd 0.000 3.965 5.310
Cd 7.983 5.948 4.529
Cd 2.661 5.948 3.342
Cd 0.000 0.000 1.374
Cd 0.000 3.965 2.561
Cd 5.322 3.965 1.374
Cd 5.322 0.000 2.561
Cd 5.322 3.965 6.497
Cd 7.983 5.948 7.278
Cd 2.661 1.983 7.278
Cd 0.000 0.000 6.497
Cd 7.983 1.983 3.342
Ti 2.661 4.675 5.904
Ti 5.322 1.273 0.000
Ti 5.322 5.238 3.936
Ti 2.661 0.710 1.968
Ti 7.983 7.220 1.968
Ti 7.983 3.255 5.904
Ti 7.983 0.710 5.904
Ti 2.661 3.255 1.968
Ti 5.322 2.693 3.936
Ti 7.983 4.675 1.968
Ti 5.322 6.658 0.000
Ti 0.000 6.658 3.936
Ti 0.000 5.238 0.000
Ti 0.000 2.693 0.000
Ti 0.000 1.273 3.936
Ti 2.661 7.220 5.904
```

## Properties
* energy of formation: 0.374 eV per atom
* uncorrected energy: -4.03 eV/atom


Record 3
Material: TiCd
Method: DFT, PBE
State: optimized geometry

Geometry as extended XYZ:
```
12
Lattice="2.907 0.000 0.000 0.000 12.652 0.000 0.000 0.000 7.217" Properties=species:S:1:pos:R:3 pbc="T T T"
Ti 1.453 11.354 4.222
Ti 0.000 0.000 2.262
Ti 1.453 1.298 4.222
Ti 1.453 5.028 0.613
Ti 0.000 6.326 5.871
Ti 1.453 7.624 0.613
Cd 0.000 9.285 5.811
Cd 0.000 6.326 2.948
Cd 0.000 2.959 2.202
Cd 0.000 3.367 5.811
Cd 0.000 0.000 6.557
Cd 0.000 9.693 2.202
```

## Properties
* energy of formation: 0.211 eV per atom
* uncorrected energy: -4.19 eV/atom


> Number 1 is which compound?

Ti3Cd